No. 1
The following is a GGA-PBE calculation of a relaxed structure of DyHoMg2, from the Alexandria database.

Cell and atoms, written as POSCAR:
```
DyHoMg2
1.0
3.750 0.000 0.000
0.000 5.370 0.000
0.000 0.000 5.370
Dy Mg Ho
1 2 1
Direct
0.500 0.000 0.000
0.000 0.000 0.500
0.000 0.500 0.000
0.500 0.500 0.500
```

Values from the calculation:
Final energy = -12.7 eV/f.u.
Total magnetization = 0.0 μB/f.u.
Space group = P4/mmm, No. 123
Volume = 108.2 Å³/cell



No. 2
The following is a GGA-PBE calculation of a relaxed structure of MnP2Ru, from the Alexandria database.

Cell and atoms, written as POSCAR:
```
MnP2Ru
1.0
4.075 0.000 0.000
0.000 4.061 0.000
0.000 0.000 2.878
Ru Mn P
1 1 2
Direct
0.500 0.000 0.500
0.000 0.500 0.500
0.500 0.500 0.000
0.000 0.000 0.000
```

Values from the calculation:
Total magnetization = 0.0 μB/f.u.
Space group = Pmmm, No. 47
Energy above the lowest structure with this stoichiometry = 162 meV per atom
Volume = 47.6 Å³/cell



No. 3
The following is a GGA-PBE calculation of a relaxed structure of ZrAlOs2, from the Alexandria database.

Cell and atoms, written as POSCAR:
```
ZrAlOs2
1.0
-3.582 6.808 -4.416
-5.933 5.882 -2.980
-4.066 7.700 -1.692
Os Al Zr
2 1 1
Direct
0.494 0.494 0.494
0.006 0.006 0.006
0.750 0.750 0.750
0.250 0.250 0.250
```

Values from the calculation:
Final energy = -34.8 eV/f.u.
Total magnetization = 0.0 μB/f.u.
Space group = R-3m, No. 166
Volume = 63.7 Å³/cell



No. 4
The following is a GGA-PBE calculation of a relaxed structure of K2IrRh, from the Alexandria database.

Cell and atoms, written as POSCAR:
```
K2IrRh
1.0
4.040 0.000 0.000
0.000 2.890 -0.004
0.000 0.971 9.910
Ir Rh K
1 1 2
Direct
0.500 0.865 0.662
0.000 0.390 0.589
0.000 0.275 0.906
0.500 0.970 0.344
```

Values from the calculation:
Total magnetization = 0.0 μB/f.u.
Space group = Pm, No. 6
Energy above the lowest structure with this stoichiometry = 0 meV per atom
Volume = 115.7 Å³/cell



No. 5
The following is a GGA-PBE calculation of a relaxed structure of KTiZn2Cr, from the Alexandria database.

Cell and atoms, written as POSCAR:
```
KTiZn2Cr
1.0
-3.816 3.551 -0.700
0.033 -0.844 -4.461
-3.619 -3.755 0.684
K Cr Zn Ti
1 1 2 1
Direct
0.500 0.500 0.500
0.000 0.500 0.000
0.500 0.000 0.000
0.000 0.000 0.500
0.000 0.000 0.000
```

Values from the calculation:
Final energy = -17.4 eV/f.u.
Total magnetization = 1.6 μB/f.u.
Space group = P4/mmm, No. 123
Volume = 125.6 Å³/cell



No. 6
The following is a GGA-PBE calculation of a relaxed structure of Tm4BiPbC, from the Alexandria database.

Cell and atoms, written as POSCAR:
```
Tm4BiPbC
1.0
-5.133 -4.386 0.342
4.339 -4.964 1.479
1.739 3.761 7.521
Tm C Bi Pb
8 2 2 2
Direct
0.095 0.750 0.191
0.402 0.750 0.804
0.000 0.000 0.500
0.598 0.250 0.196
0.500 0.500 0.500
0.500 0.000 0.500
0.905 0.250 0.809
0.000 0.500 0.500
0.751 0.250 0.501
0.249 0.750 0.499
0.605 0.750 0.209
0.395 0.250 0.791
0.895 0.750 0.789
0.105 0.250 0.211
```

Values from the calculation:
Final energy = -38.9 eV/f.u.
Total magnetization = 0.0 μB/f.u.
Space group = Cmcm, No. 63
Volume = 360.6 Å³/cell



No. 7
The following is a GGA-PBE calculation of a relaxed structure of SrZnSi2Pt2, from the Alexandria database.

Cell and atoms, written as POSCAR:
```
SrZnSi2Pt2
1.0
4.236 0.000 0.000
-2.118 3.668 0.000
0.000 0.000 7.306
Si Zn Sr Pt
2 1 1 2
Direct
0.333 0.667 0.691
0.667 0.333 0.309
0.000 0.000 0.500
0.000 0.000 0.000
0.667 0.333 0.675
0.333 0.667 0.325
```

Values from the calculation:
Total magnetization = 0.0 μB/f.u.
Formation energy (no corrections) = -0.725 eV/atom
Space group = P-3m1, No. 164
Volume = 113.5 Å³/cell



No. 8
The following is a GGA-PBE calculation of a relaxed structure of Ce2Dy3HoBi6, from the Alexandria database.

Cell and atoms, written as POSCAR:
```
Ce2Dy3HoBi6
1.0
7.825 -0.001 0.000
-3.911 6.777 0.000
-1.306 -2.262 7.375
Dy Ce Bi Ho
3 2 6 1
Direct
0.169 0.831 0.500
0.500 0.500 0.500
0.831 0.169 0.500
0.334 0.666 0.000
0.666 0.334 0.000
0.414 0.084 0.253
0.756 0.756 0.256
0.586 0.916 0.747
0.084 0.414 0.253
0.244 0.244 0.744
0.916 0.586 0.747
0.000 0.000 0.000
```

Values from the calculation:
Final energy = -63.5 eV/f.u.
Total magnetization = 1.7 μB/f.u.
Space group = C2/m, No. 12
Volume = 391.0 Å³/cell



No. 9
The following is a GGA-PBE calculation of a relaxed structure of BaAlMo2Os, from the Alexandria database.

Cell and atoms, written as POSCAR:
```
BaAlMo2Os
1.0
4.925 0.000 0.000
0.000 4.670 0.000
0.000 0.000 4.925
Mo Ba Os Al
2 1 1 1
Direct
0.500 0.000 0.000
0.000 0.000 0.500
0.500 0.500 0.500
0.000 0.500 0.000
0.000 0.000 0.000
```

Values from the calculation:
Final energy = -31.4 eV/f.u.
Total magnetization = 4.6 μB/f.u.
Space group = P4/mmm, No. 123
Volume = 113.3 Å³/cell



No. 10
The following is a GGA-PBE calculation of a relaxed structure of VHg2Cl4, from the Alexandria database.

Cell and atoms, written as POSCAR:
```
VHg2Cl4
1.0
-2.950 -2.553 2.577
3.469 -2.959 1.039
2.736 3.226 10.571
Cl V Hg
4 1 2
Direct
0.000 0.500 0.000
0.500 0.000 0.000
0.895 0.895 0.210
0.105 0.105 0.790
0.000 0.000 0.000
0.252 0.252 0.496
0.748 0.748 0.504
```

Values from the calculation:
Total magnetization = 1.4 μB/f.u.
Formation energy (no corrections) = -0.684 eV/atom
Space group = I4/mmm, No. 139
Volume = 238.2 Å³/cell



No. 11
The following is a GGA-PBE calculation of a relaxed structure of SmSn2HgTe4, from the Alexandria database.

Cell and atoms, written as POSCAR:
```
SmSn2HgTe4
1.0
-2.468 -3.232 1.807
6.022 -5.036 -0.784
4.564 0.163 6.527
Sn Te Hg Sm
2 4 1 1
Direct
0.500 0.000 0.500
0.000 0.000 0.000
0.500 0.752 0.261
0.000 0.746 0.745
0.500 0.248 0.739
0.000 0.254 0.255
0.500 0.500 0.000
0.000 0.500 0.500
```

Values from the calculation:
Total magnetization = 0.0 μB/f.u.
Formation energy (no corrections) = -0.524 eV/atom
Space group = P2/m, No. 10
Volume = 262.7 Å³/cell



No. 12
The following is a GGA-PBE calculation of a relaxed structure of NaOsCl2, from the Alexandria database.

Cell and atoms, written as POSCAR:
```
NaOsCl2
1.0
2.756 -7.979 2.734
4.709 -5.709 4.896
1.241 -6.595 5.804
Na Cl Os
1 2 1
Direct
0.000 0.000 0.000
0.122 0.122 0.122
0.878 0.878 0.878
0.500 0.500 0.500
```

Values from the calculation:
Total magnetization = 0.0 μB/f.u.
Formation energy (no corrections) = 0.192 eV/atom
Space group = R-3m, No. 166
Energy above the lowest structure with this stoichiometry = 266 meV per atom
Volume = 101.7 Å³/cell



No. 13
The following is a GGA-PBE calculation of a relaxed structure of Sm2DyTmSe5, from the Alexandria database.

Cell and atoms, written as POSCAR:
```
Sm2DyTmSe5
1.0
5.086 0.000 0.000
0.000 5.086 0.000
0.000 0.000 10.693
Se Sm Tm Dy
5 2 1 1
Direct
0.500 0.500 0.000
0.000 0.000 0.247
0.500 0.000 0.500
0.000 0.000 0.753
0.000 0.500 0.500
0.500 0.500 0.673
0.500 0.500 0.327
0.000 0.000 0.500
0.000 0.000 0.000
```

Values from the calculation:
Total magnetization = 0.0 μB/f.u.
Formation energy (no corrections) = -1.238 eV/atom
Space group = P4/mmm, No. 123
Volume = 276.6 Å³/cell



No. 14
The following is a GGA-PBE calculation of a relaxed structure of NaAlOsI2, from the Alexandria database.

Cell and atoms, written as POSCAR:
```
NaAlOsI2
1.0
-0.835 -4.794 3.220
3.802 1.798 3.663
-4.187 2.744 2.999
I Os Al Na
2 1 1 1
Direct
0.000 0.000 0.500
0.500 0.000 0.000
0.000 0.500 0.000
0.500 0.500 0.500
0.000 0.000 0.000
```

Values from the calculation:
Total magnetization = 4.0 μB/f.u.
Formation energy (no corrections) = 1.303 eV/atom
Space group = P4/mmm, No. 123
Volume = 189.9 Å³/cell



No. 15
The following is a GGA-PBE calculation of a relaxed structure of TcHgGeOsW, from the Alexandria database.

Cell and atoms, written as POSCAR:
```
TcHgGeOsW
1.0
-4.532 0.639 -0.429
-0.152 -2.356 -1.899
-1.914 -7.352 9.273
Hg Ge W Os Tc
2 2 2 2 2
Direct
0.500 0.500 0.460
0.000 0.000 0.960
0.000 0.000 0.580
0.500 0.500 0.080
0.000 0.500 0.190
0.500 0.000 0.690
0.500 0.000 0.249
0.000 0.500 0.749
0.000 0.000 0.366
0.500 0.500 0.866
```

Values from the calculation:
Total magnetization = 0.0 μB/f.u.
Space group = Imm2, No. 44
Energy above the lowest structure with this stoichiometry = 199 meV per atom
Volume = 167.0 Å³/cell



No. 16
The following is a GGA-PBE calculation of a relaxed structure of Sm6GeSe12, from the Alexandria database.

Cell and atoms, written as POSCAR:
```
Sm6GeSe12
1.0
8.228 0.019 0.022
-1.229 8.136 0.022
-1.229 -1.432 8.009
Se Sm Ge
12 6 1
Direct
0.183 0.433 0.577
0.982 0.324 0.043
0.043 0.982 0.324
0.577 0.183 0.433
0.433 0.577 0.183
0.567 0.423 0.817
0.423 0.817 0.567
0.676 0.957 0.018
0.957 0.018 0.676
0.324 0.043 0.982
0.018 0.676 0.957
0.817 0.567 0.423
0.866 0.361 0.687
0.361 0.687 0.866
0.639 0.313 0.134
0.313 0.134 0.639
0.134 0.639 0.313
0.687 0.866 0.361
0.000 0.000 0.000
```

Values from the calculation:
Total magnetization = 0.0 μB/f.u.
Formation energy (no corrections) = -1.426 eV/atom
Space group = R-3, No. 148
Volume = 536.8 Å³/cell



No. 17
The following is a GGA-PBE calculation of a relaxed structure of Sc3GaSe2, from the Alexandria database.

Cell and atoms, written as POSCAR:
```
Sc3GaSe2
1.0
-0.796 -2.641 -2.561
1.671 3.383 -4.009
5.142 -2.536 3.784
Ga Sc Se
1 3 2
Direct
0.000 0.500 0.000
0.667 0.667 0.333
0.000 0.000 0.000
0.333 0.333 0.667
0.668 0.168 0.335
0.332 0.832 0.665
```

Values from the calculation:
Total magnetization = 0.0 μB/f.u.
Formation energy (no corrections) = -1.274 eV/atom
Space group = Immm, No. 71
Volume = 124.5 Å³/cell



No. 18
The following is a GGA-PBE calculation of a relaxed structure of TiZn2PdPb, from the Alexandria database.

Cell and atoms, written as POSCAR:
```
TiZn2PdPb
1.0
4.699 0.000 0.000
0.000 5.204 0.000
0.000 0.000 4.699
Pd Ti Zn Pb
1 1 2 1
Direct
0.000 0.000 0.000
0.500 0.500 0.500
0.000 0.000 0.500
0.500 0.000 0.000
0.000 0.500 0.000
```

Values from the calculation:
Final energy = -16.9 eV/f.u.
Total magnetization = 0.0 μB/f.u.
Space group = P4/mmm, No. 123
Volume = 114.9 Å³/cell



No. 19
The following is a GGA-PBE calculation of a relaxed structure of RbHg3Pd, from the Alexandria database.

Cell and atoms, written as POSCAR:
```
RbHg3Pd
1.0
-5.368 -1.435 3.417
4.169 -2.629 5.446
2.018 4.427 5.030
Rb Pd Hg
2 2 6
Direct
0.211 0.572 0.228
0.711 0.915 0.050
0.035 0.409 0.807
0.535 0.078 0.471
0.723 0.374 0.556
0.360 0.687 0.671
0.860 0.801 0.607
0.223 0.114 0.722
0.223 0.116 0.184
0.723 0.372 0.094
```

Values from the calculation:
Total magnetization = 0.0 μB/f.u.
Space group = P2_1, No. 4
Energy above the lowest structure with this stoichiometry = 62 meV per atom
Volume = 295.9 Å³/cell



No. 20
The following is a GGA-PBE calculation of a relaxed structure of Ce2NdZn9, from the Alexandria database.

Cell and atoms, written as POSCAR:
```
Ce2NdZn9
1.0
5.431 0.000 0.000
2.716 4.703 0.000
2.716 1.568 8.839
Zn Ce Nd
9 2 1
Direct
0.665 0.665 0.006
0.417 0.923 0.244
0.500 0.500 0.500
0.923 0.417 0.244
0.417 0.417 0.244
0.583 0.583 0.756
0.583 0.077 0.756
0.077 0.583 0.756
0.335 0.335 0.994
0.852 0.852 0.443
0.148 0.148 0.557
0.000 0.000 0.000
```

Values from the calculation:
Final energy = -31.4 eV/f.u.
Total magnetization = 1.2 μB/f.u.
Space group = R-3m, No. 166
Volume = 225.8 Å³/cell



No. 21
The following is a GGA-PBE calculation of a relaxed structure of Co5H12Os3, from the Alexandria database.

Cell and atoms, written as POSCAR:
```
Co5H12Os3
1.0
-6.979 1.553 5.368
6.701 -3.510 4.764
2.680 7.684 -3.701
H Co Os
48 20 12
Direct
0.551 0.219 0.133
0.918 0.832 0.551
0.085 0.918 0.367
0.281 0.415 0.832
0.219 0.551 0.633
0.415 0.133 0.582
0.949 0.582 0.168
0.582 0.949 0.668
0.168 0.082 0.949
0.415 0.281 0.332
0.915 0.832 0.781
0.867 0.585 0.918
0.918 0.085 0.867
0.668 0.219 0.585
0.832 0.918 0.051
0.585 0.867 0.418
0.668 0.449 0.582
0.719 0.133 0.051
0.082 0.168 0.449
0.133 0.719 0.551
0.449 0.781 0.867
0.082 0.915 0.133
0.582 0.633 0.415
0.085 0.168 0.219
0.781 0.332 0.915
0.332 0.781 0.415
0.051 0.418 0.832
0.281 0.867 0.949
0.633 0.582 0.915
0.219 0.668 0.085
0.633 0.051 0.219
0.949 0.367 0.281
0.719 0.585 0.168
0.867 0.281 0.449
0.915 0.082 0.633
0.449 0.668 0.082
0.168 0.085 0.719
0.585 0.719 0.668
0.367 0.949 0.781
0.133 0.415 0.082
0.332 0.551 0.418
0.051 0.633 0.719
0.418 0.051 0.332
0.551 0.332 0.918
0.781 0.449 0.367
0.367 0.418 0.085
0.832 0.915 0.281
0.418 0.367 0.585
0.875 0.250 0.625
0.000 0.500 0.500
0.500 0.500 0.000
0.000 0.000 0.500
0.250 0.875 0.125
0.625 0.875 0.250
0.500 0.500 0.500
0.750 0.125 0.875
0.000 0.000 0.000
0.125 0.750 0.375
0.125 0.375 0.250
0.500 0.000 0.500
0.625 0.750 0.875
0.375 0.250 0.125
0.750 0.625 0.375
0.375 0.125 0.750
0.500 0.000 0.000
0.250 0.375 0.625
0.000 0.500 0.000
0.875 0.625 0.750
0.625 0.375 0.750
0.125 0.250 0.875
0.875 0.125 0.250
0.750 0.875 0.625
0.625 0.250 0.375
0.250 0.625 0.875
0.375 0.625 0.250
0.250 0.125 0.375
0.750 0.375 0.125
0.875 0.750 0.125
0.125 0.875 0.750
0.375 0.750 0.625
```

Values from the calculation:
Final energy = -101.8 eV/f.u.
Total magnetization = 7.6 μB/f.u.
Space group = Ia-3d, No. 230
Volume = 550.0 Å³/cell